Entry 1:
# Rb2CrBr7

A geometry-optimized Rb2CrBr7 structure (PBE, the Alexandria database).

Unit cell a=8.4144 b=8.4144 c=7.9371 alpha=57.99 beta=57.99 gamma=90.00
Element x y z (fractional)
Cr1 0.5000 0.5000 0.0000
Br1 0.0000 0.0000 0.0000
Br2 0.2465 0.2465 0.5070
Br3 0.7535 0.7535 0.4930
Br4 0.2926 0.2926 0.0000
Br5 0.7074 0.7074 0.0000
Br6 0.7074 0.2926 0.0000
Br7 0.2926 0.7074 0.0000
Rb1 0.7500 0.2500 0.5000
Rb2 0.2500 0.7500 0.5000

Values from the calculation:
Electronic total energy (eV/atom): -3.24
Size of the total moment (μB per cell): 3.0
Formation energy from raw total energies (eV/atom): -0.908


Entry 2:
# Rb2CrBr5

A geometry-optimized Rb2CrBr5 structure (PBE, the Alexandria database).

Unit cell a=5.2427 b=9.1608 c=14.7685 alpha=90.00 beta=90.00 gamma=106.63
Element x y z (fractional)
Rb1 0.8591 0.7182 0.4290
Rb2 0.8591 0.7182 0.0710
Rb3 0.1409 0.2818 0.5710
Rb4 0.1409 0.2818 0.9290
Cr1 0.8544 0.7089 0.7500
Cr2 0.1456 0.2911 0.2500
Br1 0.9539 0.9078 0.8688
Br2 0.9539 0.9078 0.6312
Br3 0.2493 0.4985 0.3735
Br4 0.2493 0.4985 0.1265
Br5 0.6680 0.3359 0.2500
Br6 0.3320 0.6641 0.7500
Br7 0.7507 0.5015 0.6265
Br8 0.7507 0.5015 0.8735
Br9 0.0461 0.0922 0.1312
Br10 0.0461 0.0922 0.3688

Values from the calculation:
Energy above the most stable polymorph in this dataset (meV/atom): 77
Electronic total energy (eV/atom): -3.66
Size of the total moment (μB per cell): 6.0
Formation energy from raw total energies (eV/atom): -1.171


Entry 3:
# Rb3CrBr6

A geometry-optimized Rb3CrBr6 structure (PBE, the Alexandria database).

Unit cell a=8.3892 b=8.3892 c=8.3892 alpha=89.60 beta=120.23 gamma=120.23
Element x y z (fractional)
Rb1 0.5000 0.7500 0.2500
Rb2 0.0000 0.5000 0.5000
Rb3 0.5000 0.2500 0.7500
Cr1 0.0000 0.0000 0.0000
Br1 0.7009 0.7009 0.0000
Br2 0.7009 0.0000 0.7009
Br3 0.2991 0.0000 0.2991
Br4 0.2991 0.2991 0.0000
Br5 0.0000 0.7808 0.7808
Br6 0.0000 0.2192 0.2192

Values from the calculation:
Energy above the most stable polymorph in this dataset (meV/atom): 82
Electronic total energy (eV/atom): -3.54
Size of the total moment (μB per cell): 3.0
Formation energy from raw total energies (eV/atom): -1.287


Entry 4:
# RbCrBr3

A geometry-optimized RbCrBr3 structure (PBE, the Alexandria database).

Unit cell a=4.2360 b=9.5719 c=15.5158 alpha=90.00 beta=90.00 gamma=90.00
Element x y z (fractional)
Rb1 0.2500 0.9413 0.3276
Rb2 0.7500 0.0587 0.6724
Rb3 0.7500 0.5587 0.8276
Rb4 0.2500 0.4413 0.1724
Cr1 0.2500 0.6610 0.5489
Cr2 0.7500 0.3390 0.4511
Cr3 0.7500 0.8390 0.0489
Cr4 0.2500 0.1610 0.9511
Br1 0.7500 0.2350 0.3016
Br2 0.2500 0.6825 0.9976
Br3 0.2500 0.0269 0.0942
Br4 0.2500 0.5269 0.4058
Br5 0.2500 0.1825 0.5024
Br6 0.7500 0.4731 0.5942
Br7 0.2500 0.2650 0.8016
Br8 0.7500 0.9731 0.9058
Br9 0.7500 0.3175 0.0024
Br10 0.7500 0.7350 0.1984
Br11 0.7500 0.8175 0.4976
Br12 0.2500 0.7650 0.6984

Values from the calculation:
Electronic total energy (eV/atom): -4.18
Size of the total moment (μB per cell): 16.0
Formation energy from raw total energies (eV/atom): -1.061


Entry 5:
# RbCr3Br

A geometry-optimized RbCr3Br structure (PBE, the Alexandria database).

Unit cell a=5.4039 b=5.4039 c=5.4039 alpha=90.00 beta=90.00 gamma=90.00
Element x y z (fractional)
Cr1 0.0000 0.5000 0.0000
Cr2 0.0000 0.0000 0.5000
Cr3 0.5000 0.0000 0.0000
Br1 0.0000 0.0000 0.0000
Rb1 0.5000 0.5000 0.5000

Values from the calculation:
Electronic total energy (eV/atom): -5.02
Size of the total moment (μB per cell): 14.2
Formation energy from raw total energies (eV/atom): 1.286


Entry 6:
# Rb3CrBr6

A geometry-optimized Rb3CrBr6 structure (PBE, the Alexandria database).

Unit cell a=9.1994 b=9.1994 c=9.1994 alpha=88.82 beta=88.82 gamma=88.82
Element x y z (fractional)
Rb1 0.3877 0.1123 0.7500
Rb2 0.1123 0.7500 0.3877
Rb3 0.7500 0.3877 0.1123
Rb4 0.8877 0.2500 0.6123
Rb5 0.2500 0.6123 0.8877
Rb6 0.6123 0.8877 0.2500
Cr1 0.5000 0.5000 0.5000
Cr2 0.0000 0.0000 0.0000
Br1 0.9284 0.7384 0.0593
Br2 0.7384 0.0593 0.9284
Br3 0.0593 0.9284 0.7384
Br4 0.4284 0.5593 0.2384
Br5 0.5593 0.2384 0.4284
Br6 0.2384 0.4284 0.5593
Br7 0.0716 0.2616 0.9407
Br8 0.2616 0.9407 0.0716
Br9 0.9407 0.0716 0.2616
Br10 0.5716 0.4407 0.7616
Br11 0.4407 0.7616 0.5716
Br12 0.7616 0.5716 0.4407

Values from the calculation:
Energy above the most stable polymorph in this dataset (meV/atom): 0
Electronic total energy (eV/atom): -3.63
Size of the total moment (μB per cell): 6.0
Formation energy from raw total energies (eV/atom): -1.369


Entry 7:
# RbCrBr3

A geometry-optimized RbCrBr3 structure (PBE, the Alexandria database).

Unit cell a=5.3148 b=5.3148 c=5.3148 alpha=90.00 beta=90.00 gamma=90.00
Element x y z (fractional)
Cr1 0.0000 0.0000 0.0000
Br1 0.0000 0.5000 0.0000
Br2 0.0000 0.0000 0.5000
Br3 0.5000 0.0000 0.0000
Rb1 0.5000 0.5000 0.5000

Values from the calculation:
Electronic total energy (eV/atom): -4.21
Size of the total moment (μB per cell): 4.0
Formation energy from raw total energies (eV/atom): -1.088


Entry 8:
# Rb4CrBr6

A geometry-optimized Rb4CrBr6 structure (PBE, the Alexandria database).

Unit cell a=9.3965 b=9.3965 c=9.6073 alpha=90.00 beta=90.00 gamma=90.00
Element x y z (fractional)
Rb1 0.3301 0.1699 0.2500
Rb2 0.1699 0.6699 0.7500
Rb3 0.6699 0.8301 0.7500
Rb4 0.8301 0.3301 0.7500
Rb5 0.3301 0.1699 0.7500
Rb6 0.1699 0.6699 0.2500
Rb7 0.8301 0.3301 0.2500
Rb8 0.6699 0.8301 0.2500
Cr1 0.5000 0.5000 0.0000
Cr2 0.0000 0.0000 0.5000
Br1 0.2885 0.9078 0.5000
Br2 0.7885 0.5922 0.0000
Br3 0.5922 0.2115 0.0000
Br4 0.0922 0.2885 0.5000
Br5 0.0000 0.0000 0.2340
Br6 0.5000 0.5000 0.2660
Br7 0.4078 0.7885 0.0000
Br8 0.0000 0.0000 0.7660
Br9 0.2115 0.4078 0.0000
Br10 0.5000 0.5000 0.7340
Br11 0.9078 0.7115 0.5000
Br12 0.7115 0.0922 0.5000

Values from the calculation:
Electronic total energy (eV/atom): -3.56
Size of the total moment (μB per cell): 8.0
Formation energy from raw total energies (eV/atom): -1.420


Entry 9:
# RbCrBr6

A geometry-optimized RbCrBr6 structure (PBE, the Alexandria database).

Unit cell a=8.3953 b=8.3953 c=8.3953 alpha=60.00 beta=60.00 gamma=60.00
Element x y z (fractional)
Rb1 0.5000 0.5000 0.5000
Cr1 0.0000 0.0000 0.0000
Br1 0.7937 0.7937 0.2063
Br2 0.7937 0.2063 0.2063
Br3 0.2063 0.7937 0.7937
Br4 0.2063 0.2063 0.7937
Br5 0.2063 0.7937 0.2063
Br6 0.7937 0.2063 0.7937

Values from the calculation:
Electronic total energy (eV/atom): -3.19
Size of the total moment (μB per cell): 3.7
Formation energy from raw total energies (eV/atom): -0.615


Entry 10:
# Rb2CrRuBr6

A geometry-optimized Rb2CrRuBr6 structure (PBE, the Alexandria database).

Unit cell a=7.5839 b=7.5839 c=7.5846 alpha=60.00 beta=60.00 gamma=90.00
Element x y z (fractional)
Ru1 0.0000 0.0000 0.0000
Br1 0.2558 0.2558 0.4883
Br2 0.7442 0.7442 0.5117
Br3 0.2550 0.2550 0.0000
Br4 0.7450 0.7450 0.0000
Br5 0.7450 0.2550 0.0000
Br6 0.2550 0.7450 0.0000
Rb1 0.7500 0.2500 0.5000
Rb2 0.2500 0.7500 0.5000
Cr1 0.5000 0.5000 0.0000

Values from the calculation:
Electronic total energy (eV/atom): -3.86
Size of the total moment (μB per cell): 0.0
Formation energy from raw total energies (eV/atom): -0.772


Entry 11:
# RbCr2SBr

A geometry-optimized RbCr2SBr structure (PBE, the Alexandria database).

Unit cell a=6.2286 b=5.3451 c=6.2286 alpha=90.00 beta=90.00 gamma=90.00
Element x y z (fractional)
Cr1 0.0000 0.0000 0.5000
Cr2 0.5000 0.0000 0.0000
S1 0.0000 0.5000 0.0000
Br1 0.5000 0.5000 0.5000
Rb1 0.0000 0.0000 0.0000

Values from the calculation:
Electronic total energy (eV/atom): -3.71
Size of the total moment (μB per cell): 10.3
Formation energy from raw total energies (eV/atom): 1.497


Entry 12:
# RbCrSb2Br

A geometry-optimized RbCrSb2Br structure (PBE, the Alexandria database).

Unit cell a=4.9544 b=8.1488 c=4.9544 alpha=90.00 beta=90.00 gamma=90.00
Element x y z (fractional)
Sb1 0.0000 0.0000 0.5000
Sb2 0.5000 0.0000 0.0000
Br1 0.5000 0.5000 0.5000
Rb1 0.0000 0.5000 0.0000
Cr1 0.0000 0.0000 0.0000

Values from the calculation:
Electronic total energy (eV/atom): -4.26
Size of the total moment (μB per cell): 2.0
Formation energy from raw total energies (eV/atom): -0.162


Which value of formation energy from raw total energies does entry 6 give?
-1.369 eV/atom


Which value of size of the total moment does entry 6 give?
6.0 μB per cell


Copy entry 9 word for word.
# RbCrBr6

A geometry-optimized RbCrBr6 structure (PBE, the Alexandria database).

Unit cell a=8.3953 b=8.3953 c=8.3953 alpha=60.00 beta=60.00 gamma=60.00
Element x y z (fractional)
Rb1 0.5000 0.5000 0.5000
Cr1 0.0000 0.0000 0.0000
Br1 0.7937 0.7937 0.2063
Br2 0.7937 0.2063 0.2063
Br3 0.2063 0.7937 0.7937
Br4 0.2063 0.2063 0.7937
Br5 0.2063 0.7937 0.2063
Br6 0.7937 0.2063 0.7937

Values from the calculation:
Electronic total energy (eV/atom): -3.19
Size of the total moment (μB per cell): 3.7
Formation energy from raw total energies (eV/atom): -0.615